Model i:
# NiSnRh3

A relaxed structure of NiSnRh3 (PBE, Alexandria via LeMat-Bulk).

DOS(E_F)	1.764	states/eV/atom
theoretical density	8.90	g cm⁻³

abc: 4.494 4.494 4.494
angles: 90.00 90.00 90.00
Fractional coordinates of all 5 atoms:
1 Rh 0.000 0.000 0.500
2 Ni 0.000 0.000 0.000
3 Rh 0.000 0.500 0.000
4 Sn 0.500 0.500 0.500
5 Rh 0.500 0.000 0.000

Model ii:
# NiSnRh3

A relaxed structure of NiSnRh3 (PBE, Alexandria via LeMat-Bulk).

DOS(E_F)	1.794	states/eV/atom
theoretical density	7.19	g cm⁻³

abc: 4.824 4.824 4.824
angles: 90.00 90.00 90.00
Fractional coordinates of all 5 atoms:
1 Rh 0.000 0.000 0.500
2 Sn 0.000 0.000 0.000
3 Rh 0.000 0.500 0.000
4 Rh 0.500 0.000 0.000
5 Ni 0.500 0.500 0.500

Stability comparison, relative energies in kJ/mol of atoms: model i 0.0; model ii 70.2

Model i:
# Ni2SnRh2

A relaxed structure of Ni2SnRh2 (PBE, Alexandria via LeMat-Bulk).

DOS(E_F)	0.999	states/eV/atom
theoretical density	9.86	g cm⁻³

abc: 6.994 6.994 3.043
angles: 90.00 90.00 90.00
Fractional coordinates of all 10 atoms:
1 Rh 0.866 0.634 0.000
2 Ni 0.160 0.660 0.500
3 Rh 0.634 0.134 0.000
4 Sn 0.000 0.000 0.000
5 Ni 0.660 0.840 0.500
6 Rh 0.134 0.366 0.000
7 Ni 0.340 0.160 0.500
8 Sn 0.500 0.500 0.000
9 Rh 0.366 0.866 0.000
10 Ni 0.840 0.340 0.500

Model ii:
# Ni2SnRh2

A relaxed structure of Ni2SnRh2 (PBE, Alexandria via LeMat-Bulk).

DOS(E_F)	1.491	states/eV/atom
theoretical density	10.02	g cm⁻³

abc: 6.468 6.468 3.500
angles: 90.00 90.00 90.00
Fractional coordinates of all 10 atoms:
1 Rh 0.158 0.658 0.500
2 Ni 0.129 0.371 0.000
3 Rh 0.658 0.842 0.500
4 Ni 0.629 0.129 0.000
5 Ni 0.371 0.871 0.000
6 Rh 0.842 0.342 0.500
7 Rh 0.342 0.158 0.500
8 Sn 0.000 0.000 0.000
9 Sn 0.500 0.500 0.000
10 Ni 0.871 0.629 0.000

Stability comparison, relative energies in kJ/mol of atoms: model i 4.2; model ii 0.0

Model i:
# NiSn3Rh

A relaxed structure of NiSn3Rh (PBE, Alexandria via LeMat-Bulk).

DOS(E_F)	0.472	states/eV/atom
theoretical density	8.34	g cm⁻³

abc: 6.291 8.246 8.246
angles: 74.59 89.97 89.97
Fractional coordinates of all 20 atoms:
1 Ni 0.251 0.446 0.123
2 Rh 0.250 0.011 0.989
3 Sn 0.497 0.958 0.294
4 Sn 0.997 0.042 0.707
5 Sn 0.997 0.294 0.958
6 Sn 0.501 0.380 0.381
7 Sn 0.999 0.619 0.620
8 Sn 0.003 0.706 0.042
9 Sn 0.001 0.381 0.380
10 Rh 0.750 0.673 0.327
11 Sn 0.503 0.293 0.958
12 Sn 0.503 0.042 0.706
13 Rh 0.250 0.327 0.673
14 Sn 0.497 0.707 0.042
15 Ni 0.749 0.554 0.877
16 Sn 0.003 0.958 0.293
17 Ni 0.751 0.123 0.446
18 Ni 0.249 0.877 0.554
19 Sn 0.499 0.620 0.619
20 Rh 0.750 0.989 0.011

Model ii:
# NiSn3Rh

A relaxed structure of NiSn3Rh (PBE, Alexandria via LeMat-Bulk).

DOS(E_F)	1.132	states/eV/atom
theoretical density	6.61	g cm⁻³

abc: 5.066 5.066 5.066
angles: 90.00 90.00 90.00
Fractional coordinates of all 5 atoms:
1 Sn 0.000 0.000 0.500
2 Sn 0.500 0.000 0.000
3 Ni 0.500 0.500 0.500
4 Sn 0.000 0.500 0.000
5 Rh 0.000 0.000 0.000

Model iii:
# NiSn3Rh

A relaxed structure of NiSn3Rh (PBE, Alexandria via LeMat-Bulk).

DOS(E_F)	0.883	states/eV/atom
theoretical density	7.55	g cm⁻³

abc: 4.846 4.846 4.846
angles: 90.00 90.00 90.00
Fractional coordinates of all 5 atoms:
1 Rh 0.500 0.500 0.500
2 Sn 0.500 0.000 0.000
3 Ni 0.000 0.000 0.000
4 Sn 0.000 0.000 0.500
5 Sn 0.000 0.500 0.000

Stability comparison, relative energies in kJ/mol of atoms: model i 0.0; model ii 64.2; model iii 56.0

Model i:
# SrNiRh

A relaxed structure of SrNiRh (PBE, Alexandria via LeMat-Bulk).

DOS(E_F)	1.332	states/eV/atom
theoretical density	6.82	g cm⁻³

abc: 5.737 5.737 3.415
angles: 72.69 72.68 34.63
Fractional coordinates of all 3 atoms:
1 Ni 0.947 0.947 0.053
2 Sr 0.668 0.668 0.332
3 Rh 0.385 0.385 0.615

Model ii:
# SrNiRh

A relaxed structure of SrNiRh (PBE, Alexandria via LeMat-Bulk).

DOS(E_F)	0.926	states/eV/atom
theoretical density	7.52	g cm⁻³

abc: 5.368 5.368 5.368
angles: 90.79 118.44 120.66
Fractional coordinates of all 6 atoms:
1 Rh 0.000 0.500 0.000
2 Ni 0.000 0.500 0.500
3 Ni 0.500 0.000 0.500
4 Sr 0.750 0.876 0.126
5 Sr 0.250 0.124 0.874
6 Rh 0.500 0.500 0.500

Model iii:
# SrNiRh

A relaxed structure of SrNiRh (PBE, Alexandria via LeMat-Bulk).

DOS(E_F)	2.292	states/eV/atom
theoretical density	6.41	g cm⁻³

abc: 4.503 4.503 4.503
angles: 60.00 60.00 60.00
Fractional coordinates of all 3 atoms:
1 Rh 0.000 0.000 0.000
2 Sr 0.500 0.500 0.500
3 Ni 0.750 0.750 0.750

Model iv:
# SrNiRh

A relaxed structure of SrNiRh (PBE, Alexandria via LeMat-Bulk).

DOS(E_F)	1.816	states/eV/atom
theoretical density	6.08	g cm⁻³

abc: 4.582 4.582 4.582
angles: 60.00 60.00 60.00
Fractional coordinates of all 3 atoms:
1 Sr 0.750 0.750 0.750
2 Ni 0.000 0.000 0.000
3 Rh 0.500 0.500 0.500

Stability comparison, relative energies in kJ/mol of atoms: model i 22.6; model ii 0.0; model iii 53.2; model iv 109.0

Model i:
# SrNi2Rh2

A relaxed structure of SrNi2Rh2 (PBE, Alexandria via LeMat-Bulk).

DOS(E_F)	1.421	states/eV/atom
theoretical density	8.59	g cm⁻³

abc: 7.537 7.537 2.795
angles: 90.00 90.00 90.00
Fractional coordinates of all 10 atoms:
1 Rh 0.826 0.326 0.500
2 Sr 0.000 0.000 0.000
3 Rh 0.174 0.674 0.500
4 Ni 0.618 0.118 0.000
5 Ni 0.118 0.382 0.000
6 Rh 0.326 0.174 0.500
7 Rh 0.674 0.826 0.500
8 Sr 0.500 0.500 0.000
9 Ni 0.882 0.618 0.000
10 Ni 0.382 0.882 0.000

Model ii:
# SrNi2Rh2

A relaxed structure of SrNi2Rh2 (PBE, Alexandria via LeMat-Bulk).

DOS(E_F)	1.576	states/eV/atom
theoretical density	8.56	g cm⁻³

abc: 7.555 7.555 2.792
angles: 90.00 90.00 90.00
Fractional coordinates of all 10 atoms:
1 Ni 0.327 0.173 0.500
2 Rh 0.124 0.376 0.000
3 Rh 0.876 0.624 0.000
4 Rh 0.376 0.876 0.000
5 Sr 0.500 0.500 0.000
6 Sr 0.000 0.000 0.000
7 Ni 0.173 0.673 0.500
8 Ni 0.673 0.827 0.500
9 Ni 0.827 0.327 0.500
10 Rh 0.624 0.124 0.000

Model iii:
# SrNi2Rh2

A relaxed structure of SrNi2Rh2 (PBE, Alexandria via LeMat-Bulk).

DOS(E_F)	1.590	states/eV/atom
theoretical density	7.60	g cm⁻³

abc: 4.307 4.307 5.717
angles: 67.87 67.87 90.00
Fractional coordinates of all 5 atoms:
1 Rh 0.629 0.629 0.742
2 Sr 0.000 0.000 0.000
3 Ni 0.250 0.750 0.500
4 Ni 0.750 0.250 0.500
5 Rh 0.371 0.371 0.258

Model iv:
# SrNi2Rh2

A relaxed structure of SrNi2Rh2 (PBE, Alexandria via LeMat-Bulk).

DOS(E_F)	1.371	states/eV/atom
theoretical density	7.69	g cm⁻³

abc: 4.205 4.205 5.831
angles: 68.87 68.87 90.00
Fractional coordinates of all 5 atoms:
1 Ni 0.382 0.382 0.237
2 Rh 0.250 0.750 0.500
3 Ni 0.618 0.618 0.763
4 Rh 0.750 0.250 0.500
5 Sr 0.000 0.000 0.000

Stability comparison, relative energies in kJ/mol of atoms: model i 7.5; model ii 8.4; model iii 1.1; model iv 0.0

Model i:
# Sr2Ni2Rh

A relaxed structure of Sr2Ni2Rh (PBE, Alexandria via LeMat-Bulk).

DOS(E_F)	0.783	states/eV/atom
theoretical density	6.28	g cm⁻³

abc: 6.765 6.765 4.570
angles: 90.00 90.00 90.00
Fractional coordinates of all 10 atoms:
1 Sr 0.686 0.814 0.500
2 Ni 0.877 0.623 0.000
3 Ni 0.377 0.877 0.000
4 Sr 0.186 0.686 0.500
5 Rh 0.000 0.000 0.000
6 Sr 0.314 0.186 0.500
7 Ni 0.623 0.123 0.000
8 Rh 0.500 0.500 0.000
9 Ni 0.123 0.377 0.000
10 Sr 0.814 0.314 0.500

Model ii:
# Sr2Ni2Rh

A relaxed structure of Sr2Ni2Rh (PBE, Alexandria via LeMat-Bulk).

DOS(E_F)	0.696	states/eV/atom
theoretical density	6.18	g cm⁻³

abc: 4.431 5.080 5.800
angles: 115.98 112.46 90.00
Fractional coordinates of all 5 atoms:
1 Ni 0.500 0.755 0.000
2 Sr 0.806 0.306 0.612
3 Ni 0.500 0.245 0.000
4 Rh 0.000 0.000 0.000
5 Sr 0.194 0.694 0.388

Stability comparison, relative energies in kJ/mol of atoms: model i 17.5; model ii 0.0